{"formula": "GaW3I", "functional": "meta-GGA SCAN", "state": "single point on PBEsol structure", "lattice_angstrom": [[4.647, 0.000, 0.000], [0.000, 4.647, 0.000], [0.000, 0.000, 4.647]], "species": ["Ga", "W", "W", "W", "I"], "frac_coords": [[0.000, 0.000, 0.000], [0.000, 0.000, 0.500], [0.000, 0.500, 0.000], [0.500, 0.000, 0.000], [0.500, 0.500, 0.500]], "spacegroup": "Pm-3m, No. 221", "crystal_system": "cubic", "raw_formation_energy_ev_per_atom": 2.434, "energy_ev_per_atom": -49.997}